{"formula": "CuTeWF2", "functional": "PBE with a Hubbard U", "state": "optimized geometry", "lattice": [[4.147, 0.000, 0.000], [0.000, 4.147, 0.000], [0.000, 0.000, 5.861]], "species": ["Cu", "Te", "W", "F", "F"], "frac_coords": [[0.000, 0.000, 0.000], [0.500, 0.500, 0.000], [0.500, 0.500, 0.500], [0.000, 0.500, 0.500], [0.500, 0.000, 0.500]], "spacegroup": "P4/mmm (123)", "total_magnetization_mub_per_cell": 3.0, "total_energy_ev_per_atom": -4.731}